DFT (PBEsol) results for an optimized crystal structure of HfCrRu2Pb.

Output
VASP energy in eV per atom: -8.23

abc: 4.418 4.418 4.751
angles: 90.00 90.00 90.00
Sites, in units of the cell vectors:
Cr (0.000, 0.000, 0.000)
Ru (0.000, 0.500, 0.000)
Ru (0.500, 0.000, 0.000)
Hf (0.000, 0.000, 0.500)
Pb (0.500, 0.500, 0.500)

DFT (PBEsol) results for an optimized crystal structure of BaScZn2.

Output
Relative energy among the computed polymorphs in eV per atom: 0.000

abc: 3.539 3.539 7.548
angles: 90.00 90.00 90.00
Sites, in units of the cell vectors:
Sc (0.500, 0.500, 0.500)
Zn (0.000, 0.000, 0.682)
Zn (0.000, 0.000, 0.318)
Ba (0.500, 0.500, 0.000)

DFT (PBEsol) results for an optimized crystal structure of GaAu2N2.

Output
E_form (uncorrected) in meV per atom: 1106

abc: 4.125 4.125 5.230
angles: 113.23 113.23 90.00
Sites, in units of the cell vectors:
Au (0.675, 0.675, 0.350)
Au (0.325, 0.325, 0.650)
N (0.750, 0.250, 0.500)
N (0.250, 0.750, 0.500)
Ga (0.000, 0.000, 0.000)

DFT (PBEsol) results for an optimized crystal structure of CoAs2HCl.

Output
VASP energy in eV per atom: -4.51

abc: 3.229 4.623 4.623
angles: 90.00 90.00 90.00
Sites, in units of the cell vectors:
As (0.000, 0.500, 0.000)
As (0.000, 0.000, 0.500)
H (0.500, 0.000, 0.000)
Co (0.000, 0.000, 0.000)
Cl (0.500, 0.500, 0.500)

DFT (PBEsol) results for an optimized crystal structure of Zn7SnN6.

Output
E_form (uncorrected) in meV per atom: 102

abc: 5.905 10.669 12.273
angles: 90.00 90.00 90.00
Sites, in units of the cell vectors:
Zn (0.153, 0.259, 0.658)
Zn (0.653, 0.759, 0.842)
Zn (0.847, 0.741, 0.342)
Zn (0.759, 0.030, 0.461)
Zn (0.847, 0.259, 0.158)
Zn (0.358, 0.791, 0.069)
Zn (0.858, 0.291, 0.431)
Zn (0.358, 0.209, 0.431)
Zn (0.741, 0.470, 0.961)
Zn (0.653, 0.241, 0.658)
Zn (0.412, 0.000, 0.750)
Zn (0.642, 0.209, 0.931)
Zn (0.259, 0.530, 0.039)
Zn (0.588, 0.000, 0.250)
Zn (0.088, 0.500, 0.250)
Zn (0.759, 0.970, 0.039)
Zn (0.153, 0.741, 0.842)
Zn (0.142, 0.291, 0.931)
Zn (0.241, 0.030, 0.961)
Zn (0.259, 0.470, 0.461)
Zn (0.741, 0.530, 0.539)
Zn (0.347, 0.759, 0.342)
Zn (0.241, 0.970, 0.539)
Zn (0.347, 0.241, 0.158)
Zn (0.642, 0.791, 0.569)
Zn (0.142, 0.709, 0.569)
Zn (0.858, 0.709, 0.069)
Zn (0.912, 0.500, 0.750)
N (0.356, 0.180, 0.009)
N (0.345, 0.425, 0.151)
N (0.644, 0.180, 0.509)
N (0.655, 0.425, 0.651)
N (0.842, 0.633, 0.213)
N (0.856, 0.680, 0.491)
N (0.845, 0.925, 0.349)
N (0.842, 0.367, 0.287)
N (0.345, 0.575, 0.349)
N (0.845, 0.075, 0.151)
N (0.144, 0.320, 0.509)
N (0.356, 0.820, 0.491)
N (0.158, 0.633, 0.713)
N (0.655, 0.575, 0.849)
N (0.155, 0.075, 0.651)
N (0.658, 0.867, 0.713)
N (0.856, 0.320, 0.009)
N (0.342, 0.133, 0.287)
N (0.155, 0.925, 0.849)
N (0.342, 0.867, 0.213)
N (0.644, 0.820, 0.991)
N (0.158, 0.367, 0.787)
N (0.144, 0.680, 0.991)
N (0.658, 0.133, 0.787)
Sn (0.597, 0.500, 0.250)
Sn (0.403, 0.500, 0.750)
Sn (0.097, 0.000, 0.250)
Sn (0.903, 0.000, 0.750)

DFT (PBEsol) results for an optimized crystal structure of Li3Co3NiO8.

Output
E_form (uncorrected) in meV per atom: -1392
Relative energy among the computed polymorphs in eV per atom: 0.000

abc: 5.594 5.594 5.668
angles: 60.43 60.43 60.00
Sites, in units of the cell vectors:
O (0.235, 0.740, 0.790)
O (0.740, 0.235, 0.790)
O (0.260, 0.765, 0.210)
O (0.765, 0.260, 0.210)
O (0.739, 0.739, 0.784)
O (0.261, 0.261, 0.216)
O (0.765, 0.765, 0.210)
O (0.235, 0.235, 0.790)
Co (0.000, 0.500, 0.000)
Co (0.500, 0.000, 0.000)
Co (0.500, 0.500, 0.000)
Li (0.500, 0.000, 0.500)
Li (0.000, 0.500, 0.500)
Li (0.000, 0.000, 0.500)
Ni (0.000, 0.000, 0.000)